A plane-wave DFT calculation with PBE was carried out for an optimized crystal structure of BaPIr2.

Summary:
space-group type: R3m
crystal system: trigonal
total magnetic moment: 0.00 μB per formula unit

Unit cell a=4.3227 b=4.3227 c=16.9395 alpha=90.00 beta=90.00 gamma=120.00
Last column: nearest neighbours and their distance in Å.
Fractional coordinates of all 12 atoms:
Ba  0.0000  0.0000  0.0000  7 Ir 3.23-3.59, 4 P 3.36-3.38
Ba  0.3333  0.6667  0.6667  7 Ir 3.23-3.59, 4 P 3.36-3.38
Ba  0.6667  0.3333  0.3333  7 Ir 3.23-3.59, 4 P 3.36-3.38
P  0.0000  0.0000  0.1984  6 Ir 2.62-2.67
P  0.3333  0.6667  0.8651  6 Ir 2.62-2.67
P  0.6667  0.3333  0.5318  6 Ir 2.62-2.67
Ir  0.0000  0.0000  0.4854  3 Ir 2.50, 3 P 2.62
Ir  0.0000  0.0000  0.8092  3 Ir 2.50, 3 P 2.67
Ir  0.3333  0.6667  0.1520  3 Ir 2.50, 3 P 2.62
Ir  0.3333  0.6667  0.4759  3 Ir 2.50, 3 P 2.67
Ir  0.6667  0.3333  0.1425  3 Ir 2.50, 3 P 2.67
Ir  0.6667  0.3333  0.8187  3 Ir 2.50, 3 P 2.62

A plane-wave DFT calculation with PBE was carried out for an optimized crystal structure of BaPIr2.

Summary:
space-group type: Pmmm
crystal system: orthorhombic
total magnetic moment: 0.00 μB per formula unit

Unit cell a=2.9844 b=5.0616 c=5.2153 alpha=90.00 beta=90.00 gamma=90.00
Last column: nearest neighbours and their distance in Å.
Fractional coordinates of all 4 atoms:
Ba  0.0000  0.0000  0.0000  4 P 2.94, 2 Ba 2.98, 4 Ir 3.00
P  0.5000  0.5000  0.0000  4 Ba 2.94, 2 P 2.98, 4 Ir 3.00
Ir  0.0000  0.5000  0.5000  6 Ir 2.94-2.98, 4 P 3.00
Ir  0.5000  0.0000  0.5000  6 Ir 2.94-2.98, 4 Ba 3.00

A plane-wave DFT calculation with PBE was carried out for an optimized crystal structure of BaP2Ir2.

Summary:
space-group type: C2/c
crystal system: monoclinic
total magnetic moment: 0.00 μB per formula unit

Unit cell a=6.3109 b=6.3109 c=7.6177 alpha=124.44 beta=124.44 gamma=65.57
Last column: nearest neighbours and their distance in Å.
Fractional coordinates of all 10 atoms:
Ba  0.1128  0.8872  0.7500  4 P 3.19-3.40, 2 Ir 3.43
Ba  0.8872  0.1128  0.2500  4 P 3.19-3.40, 2 Ir 3.43
P  0.1733  0.4598  0.9186  4 Ir 2.31-2.41
P  0.4598  0.1733  0.4186  4 Ir 2.31-2.41
P  0.5402  0.8267  0.5814  4 Ir 2.31-2.41
P  0.8267  0.5402  0.0814  4 Ir 2.31-2.41
Ir  0.2778  0.4889  0.2874  4 P 2.31-2.41
Ir  0.4889  0.2778  0.7874  4 P 2.31-2.41
Ir  0.5111  0.7222  0.2126  4 P 2.31-2.41
Ir  0.7222  0.5111  0.7126  4 P 2.31-2.41

A plane-wave DFT calculation with PBE was carried out for an optimized crystal structure of Ba8P2Ir.

Summary:
space-group type: C2/m
crystal system: monoclinic
total magnetic moment: 0.33 μB per formula unit

Unit cell a=9.0215 b=9.0215 c=7.0238 alpha=92.79 beta=92.79 gamma=74.35
Last column: nearest neighbours and their distance in Å.
Fractional coordinates of all 11 atoms:
Ba  0.1076  0.6870  0.7148  1 Ir 3.16, 1 P 3.16
Ba  0.1734  0.1734  0.7744  1 Ir 3.06, 1 P 3.19
Ba  0.3130  0.8924  0.2852  1 Ir 3.16, 1 P 3.16
Ba  0.3957  0.3957  0.2386  2 P 3.08-3.26
Ba  0.6043  0.6043  0.7614  2 P 3.08-3.26
Ba  0.6870  0.1076  0.7148  1 Ir 3.16, 1 P 3.16
Ba  0.8266  0.8266  0.2256  1 Ir 3.06, 1 P 3.19
Ba  0.8924  0.3130  0.2852  1 Ir 3.16, 1 P 3.16
P  0.3900  0.3900  0.7023  5 Ba 3.08-3.26
P  0.6100  0.6100  0.2977  5 Ba 3.08-3.26
Ir  0.0000  0.0000  0.5000  6 Ba 3.06-3.16

no.,calculated total energy (hartree per atom),E_form (eV per atom)
1,-0.2415,-0.307
2,-0.2030,0.741
3,-0.2556,-0.862
4,-0.1325,-0.417